Li4CuPd2, relaxed, DFT PBE; formation enthalpy at 0 K = -0.19 eV per atom; excess energy over the best structure of this formula in the dataset = 0.000 eV per atom; size of the total moment = 0.0 μB/f.u.; VASP energy = -3.35 eV per atom
1.0
6.6844 -1.3635 0.0000
6.6844 1.3635 0.0000
-3.3008 0.0000 5.8194
Li Cu Pd
4 1 2
direct
0.0900 0.0900 0.2326 Li
0.3563 0.3563 0.1093 Li
0.6437 0.6437 0.8907 Li
0.9100 0.9100 0.7674 Li
0.0000 0.0000 0.5000 Cu
0.2204 0.2204 0.6547 Pd
0.7796 0.7796 0.3453 Pd

=====

Li3CuPd6, relaxed, DFT PBE; formation enthalpy at 0 K = -0.27 eV per atom; excess energy over the best structure of this formula in the dataset = 0.000 eV per atom; size of the total moment = 0.0 μB/f.u.; VASP energy = -4.37 eV per atom
1.0
8.2305 0.0000 0.0000
0.0000 3.9777 0.0000
-0.6295 0.0000 8.6506
Li Cu Pd
6 2 12
direct
0.0494 0.2500 0.3969 Li
0.1501 0.7500 0.1886 Li
0.2524 0.2500 0.9816 Li
0.7476 0.7500 0.0184 Li
0.8499 0.2500 0.8114 Li
0.9506 0.7500 0.6031 Li
0.4485 0.2500 0.5971 Cu
0.5515 0.7500 0.4029 Cu
0.0418 0.7500 0.8969 Pd
0.1368 0.2500 0.6877 Pd
0.2413 0.7500 0.4862 Pd
0.3421 0.2500 0.2964 Pd
0.3474 0.7500 0.7903 Pd
0.4448 0.7500 0.0996 Pd
0.5552 0.2500 0.9004 Pd
0.6526 0.2500 0.2097 Pd
0.6579 0.7500 0.7036 Pd
0.7587 0.2500 0.5138 Pd
0.8632 0.7500 0.3123 Pd
0.9582 0.2500 0.1031 Pd

=====

LiCu2Pd9, relaxed, DFT PBE; formation enthalpy at 0 K = -0.13 eV per atom; size of the total moment = 0.0 μB/f.u.; VASP energy = -4.86 eV per atom
1.0
3.8837 0.0000 0.0000
0.0000 3.8837 0.0000
0.0000 0.0000 11.7027
Li Cu Pd
1 2 9
direct
0.0000 0.0000 0.0000 Li
0.0000 0.0000 0.3335 Cu
0.0000 0.0000 0.6665 Cu
0.0000 0.5000 0.1676 Pd
0.0000 0.5000 0.5000 Pd
0.0000 0.5000 0.8324 Pd
0.5000 0.0000 0.1676 Pd
0.5000 0.0000 0.5000 Pd
0.5000 0.0000 0.8324 Pd
0.5000 0.5000 0.0000 Pd
0.5000 0.5000 0.3334 Pd
0.5000 0.5000 0.6666 Pd

=====

Li6CuPd12, relaxed, DFT PBE; formation enthalpy at 0 K = -0.29 eV per atom; size of the total moment = 0.0 μB/f.u.; VASP energy = -4.39 eV per atom
1.0
5.9739 3.4491 2.2376
-5.9739 3.4491 2.2376
0.0000 -6.8981 2.2376
Li Cu Pd
6 1 12
direct
0.0546 0.3624 0.5707 Li
0.3624 0.5707 0.0546 Li
0.4293 0.9454 0.6376 Li
0.5707 0.0546 0.3624 Li
0.6376 0.4293 0.9454 Li
0.9454 0.6376 0.4293 Li
0.0000 0.0000 0.0000 Cu
0.1037 0.7382 0.1629 Pd
0.1629 0.1037 0.7382 Pd
0.2082 0.4757 0.3137 Pd
0.2618 0.8371 0.8963 Pd
0.3137 0.2082 0.4757 Pd
0.4757 0.3137 0.2082 Pd
0.5243 0.6863 0.7918 Pd
0.6863 0.7918 0.5243 Pd
0.7382 0.1629 0.1037 Pd
0.7918 0.5243 0.6863 Pd
0.8371 0.8963 0.2618 Pd
0.8963 0.2618 0.8371 Pd

=====

LiCu4Pd15, relaxed, DFT PBE; formation enthalpy at 0 K = -0.10 eV per atom; size of the total moment = 0.0 μB/f.u.; VASP energy = -4.91 eV per atom
1.0
3.8777 0.0000 0.0000
0.0000 3.8777 0.0000
0.0000 0.0000 19.5070
Li Cu Pd
1 4 15
direct
0.0000 0.0000 0.0000 Li
0.0000 0.0000 0.2003 Cu
0.0000 0.0000 0.4000 Cu
0.0000 0.0000 0.6000 Cu
0.0000 0.0000 0.7997 Cu
0.0000 0.5000 0.1004 Pd
0.0000 0.5000 0.3003 Pd
0.0000 0.5000 0.5000 Pd
0.0000 0.5000 0.6997 Pd
0.0000 0.5000 0.8996 Pd
0.5000 0.0000 0.1004 Pd
0.5000 0.0000 0.3003 Pd
0.5000 0.0000 0.5000 Pd
0.5000 0.0000 0.6997 Pd
0.5000 0.0000 0.8996 Pd
0.5000 0.5000 0.0000 Pd
0.5000 0.5000 0.2001 Pd
0.5000 0.5000 0.4002 Pd
0.5000 0.5000 0.5998 Pd
0.5000 0.5000 0.7999 Pd

=====

Li3Cu2Pd8, relaxed, DFT PBE; formation enthalpy at 0 K = -0.01 eV per atom; size of the total moment = 0.0 μB/f.u.; VASP energy = -4.28 eV per atom
1.0
2.6519 1.5311 9.1789
-2.6519 1.5311 9.1789
0.0000 -3.0622 9.1789
Li Cu Pd
3 2 8
direct
0.0000 0.0000 0.0000 Li
0.1715 0.1715 0.1715 Li
0.8285 0.8285 0.8285 Li
0.3489 0.3489 0.3489 Cu
0.6511 0.6511 0.6511 Cu
0.2414 0.7440 0.7440 Pd
0.2560 0.2560 0.7586 Pd
0.2560 0.7586 0.2560 Pd
0.2605 0.2605 0.2605 Pd
0.7395 0.7395 0.7395 Pd
0.7440 0.2414 0.7440 Pd
0.7440 0.7440 0.2414 Pd
0.7586 0.2560 0.2560 Pd

=====

LiCu6Pd12, relaxed, DFT PBE; formation enthalpy at 0 K = -0.04 eV per atom; excess energy over the best structure of this formula in the dataset = 0.066 eV per atom; size of the total moment = 0.0 μB/f.u.; VASP energy = -4.72 eV per atom
1.0
4.5470 2.6252 3.8386
-4.5470 2.6252 3.8386
0.0000 -5.2504 3.8386
Li Cu Pd
1 6 12
direct
0.0000 0.0000 0.0000 Li
0.1104 0.2630 0.7336 Cu
0.2630 0.7336 0.1104 Cu
0.2664 0.8896 0.7370 Cu
0.7336 0.1104 0.2630 Cu
0.7370 0.2664 0.8896 Cu
0.8896 0.7370 0.2664 Cu
0.0238 0.3674 0.1532 Pd
0.1532 0.0238 0.3674 Pd
0.1967 0.5652 0.4708 Pd
0.3674 0.1532 0.0238 Pd
0.4348 0.5292 0.8033 Pd
0.4708 0.1967 0.5652 Pd
0.5292 0.8033 0.4348 Pd
0.5652 0.4708 0.1967 Pd
0.6326 0.8468 0.9762 Pd
0.8033 0.4348 0.5292 Pd
0.8468 0.9762 0.6326 Pd
0.9762 0.6326 0.8468 Pd

=====

LiCu2Pd, relaxed, DFT PBE; formation enthalpy at 0 K = -0.17 eV per atom; size of the total moment = 0.0 μB/f.u.; VASP energy = -4.00 eV per atom
1.0
0.0000 2.9545 2.9545
2.9545 0.0000 2.9545
2.9545 2.9545 0.0000
Li Cu Pd
1 2 1
direct
0.0000 0.0000 0.0000 Li
0.5000 0.5000 0.5000 Cu
0.7500 0.7500 0.7500 Cu
0.2500 0.2500 0.2500 Pd

=====

Li2Cu3Pd4, relaxed, DFT PBE; formation enthalpy at 0 K = -0.25 eV per atom; excess energy over the best structure of this formula in the dataset = 0.000 eV per atom; size of the total moment = 0.0 μB/f.u.; VASP energy = -4.35 eV per atom
1.0
3.6612 -2.1053 0.0000
3.6612 2.1053 0.0000
-0.0466 0.0000 7.8475
Li Cu Pd
2 3 4
direct
0.1669 0.1669 0.2132 Li
0.8331 0.8331 0.7868 Li
0.1664 0.1664 0.5389 Cu
0.5000 0.5000 0.0000 Cu
0.8336 0.8336 0.4611 Cu
0.1666 0.1666 0.8830 Pd
0.4994 0.4994 0.6702 Pd
0.5006 0.5006 0.3298 Pd
0.8334 0.8334 0.1170 Pd

=====

Li2Cu7Pd2, relaxed, DFT PBE; formation enthalpy at 0 K = -0.05 eV per atom; size of the total moment = 0.0 μB/f.u.; VASP energy = -3.95 eV per atom
1.0
4.1612 -4.1939 0.0000
4.1612 4.1939 0.0000
-2.2093 0.0000 4.2381
Li Cu Pd
2 7 2
direct
0.1994 0.8006 0.0000 Li
0.8006 0.1994 0.0000 Li
0.0000 0.0000 0.5000 Cu
0.0704 0.5851 0.3192 Cu
0.2595 0.2595 0.0390 Cu
0.4149 0.9296 0.6808 Cu
0.5851 0.0704 0.3192 Cu
0.7405 0.7405 0.9610 Cu
0.9296 0.4149 0.6808 Cu
0.3810 0.3810 0.6427 Pd
0.6190 0.6190 0.3573 Pd

=====

Li2Cu3Pd4, relaxed, DFT PBE; formation enthalpy at 0 K = -0.21 eV per atom; excess energy over the best structure of this formula in the dataset = 0.042 eV per atom; size of the total moment = 0.0 μB/f.u.; VASP energy = -4.31 eV per atom
1.0
5.7641 -1.9457 0.0000
5.7641 1.9457 0.0000
-1.8694 0.0000 5.4775
Li Cu Pd
2 3 4
direct
0.1656 0.1656 0.0025 Li
0.8344 0.8344 0.9975 Li
0.3916 0.3916 0.3396 Cu
0.5000 0.5000 0.0000 Cu
0.6084 0.6084 0.6604 Cu
0.0482 0.0482 0.3145 Pd
0.2752 0.2752 0.6814 Pd
0.7248 0.7248 0.3186 Pd
0.9518 0.9518 0.6855 Pd

=====

Li2CuPd9, relaxed, DFT PBE; formation enthalpy at 0 K = -0.19 eV per atom; size of the total moment = 0.0 μB/f.u.; VASP energy = -4.74 eV per atom
1.0
3.8881 0.0000 0.0000
0.0000 3.8881 0.0000
0.0000 0.0000 11.7048
Li Cu Pd
2 1 9
direct
0.0000 0.0000 0.1652 Li
0.0000 0.0000 0.8348 Li
0.0000 0.0000 0.5000 Cu
0.0000 0.5000 0.0000 Pd
0.0000 0.5000 0.3340 Pd
0.0000 0.5000 0.6660 Pd
0.5000 0.0000 0.0000 Pd
0.5000 0.0000 0.3340 Pd
0.5000 0.0000 0.6660 Pd
0.5000 0.5000 0.1664 Pd
0.5000 0.5000 0.5000 Pd
0.5000 0.5000 0.8336 Pd

=====

LiCu6Pd4, relaxed, DFT PBE; formation enthalpy at 0 K = 0.05 eV per atom; size of the total moment = 0.0 μB/f.u.; VASP energy = -4.25 eV per atom
1.0
-2.4722 2.4722 6.3095
2.4722 -2.4722 6.3095
2.4722 2.4722 -6.3095
Li Cu Pd
1 6 4
direct
0.0000 0.0000 0.0000 Li
0.0000 0.5000 0.5000 Cu
0.1878 0.1878 0.6247 Cu
0.4369 0.8122 0.0000 Cu
0.5000 0.0000 0.5000 Cu
0.5631 0.5631 0.3753 Cu
0.8122 0.4369 0.0000 Cu
0.0258 0.6264 0.0000 Pd
0.3736 0.3736 0.3994 Pd
0.6264 0.0258 0.0000 Pd
0.9742 0.9742 0.6006 Pd

=====

LiCu8Pd6, relaxed, DFT PBE; formation enthalpy at 0 K = 0.12 eV per atom; excess energy over the best structure of this formula in the dataset = 0.104 eV per atom; size of the total moment = 0.0 μB/f.u.; VASP energy = -4.27 eV per atom
1.0
9.7633 0.0000 0.0000
-4.8816 8.4552 0.0000
0.0000 0.0000 2.6716
Li Cu Pd
1 8 6
direct
0.0000 0.0000 0.0000 Li
0.0679 0.2644 0.7273 Cu
0.1965 0.9321 0.7273 Cu
0.2644 0.1965 0.2727 Cu
0.3333 0.6667 0.2610 Cu
0.6667 0.3333 0.7390 Cu
0.7356 0.8035 0.7273 Cu
0.8035 0.0679 0.2727 Cu
0.9321 0.7356 0.2727 Cu
0.0943 0.6363 0.7599 Pd
0.3637 0.4581 0.7599 Pd
0.4581 0.0943 0.2401 Pd
0.5419 0.9057 0.7599 Pd
0.6363 0.5419 0.2401 Pd
0.9057 0.3637 0.2401 Pd

=====

Li4CuPd3, relaxed, DFT PBE; formation enthalpy at 0 K = -0.30 eV per atom; excess energy over the best structure of this formula in the dataset = 0.010 eV per atom; size of the total moment = 0.0 μB/f.u.; VASP energy = -3.72 eV per atom
1.0
-1.3661 4.2274 4.8823
1.3661 -4.2274 4.8823
1.3661 4.2274 -4.8823
Li Cu Pd
4 1 3
direct
0.1127 0.8709 0.2418 Li
0.3709 0.1291 0.2418 Li
0.6291 0.8709 0.7582 Li
0.8873 0.1291 0.7582 Li
0.5000 0.0000 0.5000 Cu
0.0000 0.5000 0.5000 Pd
0.2709 0.2709 0.0000 Pd
0.7291 0.7291 0.0000 Pd

=====

Li6CuPd5, relaxed, DFT PBE; formation enthalpy at 0 K = -0.37 eV per atom; size of the total moment = 0.0 μB/f.u.; VASP energy = -3.83 eV per atom
1.0
4.1995 0.0000 0.0000
0.0000 6.0498 0.0000
-2.0379 0.0000 6.2903
Li Cu Pd
6 1 5
direct
0.0000 0.2456 0.0000 Li
0.0000 0.7544 0.0000 Li
0.3319 0.2509 0.6633 Li
0.3319 0.7491 0.6633 Li
0.6681 0.2509 0.3367 Li
0.6681 0.7491 0.3367 Li
0.5000 0.5000 0.0000 Cu
0.1611 0.5000 0.3225 Pd
0.1658 0.0000 0.3319 Pd
0.5000 0.0000 0.0000 Pd
0.8342 0.0000 0.6681 Pd
0.8389 0.5000 0.6775 Pd

=====

LiCuPd2, relaxed, DFT PBE; formation enthalpy at 0 K = -0.29 eV per atom; excess energy over the best structure of this formula in the dataset = 0.017 eV per atom; size of the total moment = 0.0 μB/f.u.; VASP energy = -4.39 eV per atom
1.0
0.0000 3.0095 3.0095
3.0095 0.0000 3.0095
3.0095 3.0095 0.0000
Li Cu Pd
1 1 2
direct
0.0000 0.0000 0.0000 Li
0.5000 0.5000 0.5000 Cu
0.2500 0.2500 0.2500 Pd
0.7500 0.7500 0.7500 Pd

=====

Li2Cu2Pd3, relaxed, DFT PBE; formation enthalpy at 0 K = -0.13 eV per atom; excess energy over the best structure of this formula in the dataset = 0.016 eV per atom; size of the total moment = 0.0 μB/f.u.; VASP energy = -4.07 eV per atom
1.0
6.5561 -1.3473 0.0000
6.5561 1.3473 0.0000
-3.0207 0.0000 5.8185
Li Cu Pd
2 2 3
direct
0.0637 0.0637 0.3816 Li
0.9363 0.9363 0.6184 Li
0.3455 0.3455 0.1445 Cu
0.6545 0.6545 0.8555 Cu
0.2744 0.2744 0.7007 Pd
0.5000 0.5000 0.0000 Pd
0.7256 0.7256 0.2993 Pd

=====

LiCu2Pd, relaxed, DFT PBE; formation enthalpy at 0 K = -0.22 eV per atom; size of the total moment = 0.0 μB/f.u.; VASP energy = -4.05 eV per atom
1.0
3.6363 0.0000 0.0000
0.0000 3.6363 0.0000
0.0000 0.0000 3.8879
Li Cu Pd
1 2 1
direct
0.0000 0.0000 0.0000 Li
0.0000 0.5000 0.5000 Cu
0.5000 0.0000 0.5000 Cu
0.5000 0.5000 0.0000 Pd

=====

Li4Cu2Pd5, relaxed, DFT PBE; formation enthalpy at 0 K = -0.29 eV per atom; size of the total moment = 0.0 μB/f.u.; VASP energy = -4.09 eV per atom
1.0
4.9349 0.0000 0.0000
0.0000 14.4895 0.0000
0.0000 0.0000 4.1661
Li Cu Pd
8 4 10
direct
0.1721 0.1256 0.0000 Li
0.2212 0.4573 0.0000 Li
0.2788 0.9573 0.0000 Li
0.3279 0.6256 0.0000 Li
0.6721 0.3744 0.0000 Li
0.7212 0.0427 0.0000 Li
0.7788 0.5427 0.0000 Li
0.8279 0.8744 0.0000 Li
0.1343 0.2913 0.0000 Cu
0.3657 0.7913 0.0000 Cu
0.6343 0.2087 0.0000 Cu
0.8657 0.7087 0.0000 Cu
0.0000 0.0000 0.5000 Pd
0.0217 0.5991 0.5000 Pd
0.0431 0.8000 0.5000 Pd
0.4569 0.3000 0.5000 Pd
0.4783 0.0991 0.5000 Pd
0.5000 0.5000 0.5000 Pd
0.5217 0.9009 0.5000 Pd
0.5431 0.7000 0.5000 Pd
0.9569 0.2000 0.5000 Pd
0.9783 0.4009 0.5000 Pd